Entry 1:
5
Lattice="4.3868 0.0000 0.0000 0.0000 4.3868 0.0000 0.0000 0.0000 4.3868" Properties=species:S:1:pos:R:3 comment="PBE-GGA NbB3Te, relaxed" raw_formation_energy_ev_per_atom=1.635 spacegroup=Pm-3m de_polymorph_ev_per_atom=0.000 pbc="T T T"
Nb 0.0000 0.0000 0.0000
B 0.0000 0.0000 2.1934
B 0.0000 2.1934 0.0000
B 2.1934 0.0000 0.0000
Te 2.1934 2.1934 2.1934

=====

Entry 2:
4
Lattice="4.8880 0.0000 0.0000 0.0000 4.8880 0.0000 0.0000 0.0000 4.8345" Properties=species:S:1:pos:R:3 comment="PBE-GGA NdY2Hg, relaxed" delta_e_f_mev_per_atom=-163 spacegroup=P4/mmm de_polymorph_ev_per_atom=0.082 pbc="T T T"
Nd 0.0000 0.0000 0.0000
Y 0.0000 2.4440 2.4173
Y 2.4440 0.0000 2.4173
Hg 2.4440 2.4440 0.0000

=====

Entry 3:
16
Lattice="6.3548 0.0000 0.0000 0.0000 6.3548 0.0000 0.0000 0.0000 12.0596" Properties=species:S:1:pos:R:3 comment="PBE-GGA Bi2PIr, relaxed" delta_e_f_mev_per_atom=435 spacegroup=I-42d pbc="T T T"
Bi 1.4775 1.5887 1.5075
Bi 1.5887 4.6549 4.5224
Bi 1.5887 4.8773 10.5522
Bi 1.6999 1.5887 7.5373
Bi 4.6549 4.7661 7.5373
Bi 4.7661 1.4775 10.5522
Bi 4.7661 1.6999 4.5224
Bi 4.8773 4.7661 1.5075
P 0.0000 0.0000 6.0298
P 0.0000 3.1774 9.0447
P 3.1774 0.0000 3.0149
P 3.1774 3.1774 0.0000
Ir 0.0000 0.0000 0.0000
Ir 0.0000 3.1774 3.0149
Ir 3.1774 0.0000 9.0447
Ir 3.1774 3.1774 6.0298

=====

Here are the calculated raw total energy numbers, same order: -25.1, -18.7, -81.2 (eV per cell).